# Y5Pb, optimized geometry, DFT PBE
data_Y5Pb
_chemical_formula_sum 'Y10 Pb2'
_space_group_name_H-M_alt 'C 1 m 1'
_space_group_IT_number 8
_space_group_name_Hall 'C -2y'
_cell_length_a 12.8446
_cell_length_b 3.5980
_cell_length_c 8.3276
_cell_angle_alpha 90.00
_cell_angle_beta 104.96
_cell_angle_gamma 90.00
loop_
_atom_site_label
_atom_site_type_symbol
_atom_site_fract_x
_atom_site_fract_y
_atom_site_fract_z
Y1 Y 0.0000 0.0000 0.0000
Y2 Y 0.0316 0.0000 0.6100
Y3 Y 0.1432 0.5000 0.3391
Y4 Y 0.3129 0.0000 0.6811
Y5 Y 0.3659 0.0000 0.2643
Pb1 Pb 0.2098 0.5000 0.9485
# Energy of formation ... -0.18 eV per atom
# ρ ... 5.82 g cm⁻³
# D(E_F) ... 14.4 states/eV/cell
# Size of the total moment ... 0.00 μB/atom